Model P:
First-principles (GGA-PBE) data for crystalline POs2Pb at its relaxed geometry, as listed in Alexandria.

V ... 17.1 Å³/atom
Total magnetic moment ... 0.0 μB per formula unit
DOS(E_F) ... 5.123 states/eV per cell

Cell lengths 3.041, 4.322, 5.200 Å; angles 90.00, 90.00, 90.00 degrees
Element x y z (fractional)
Pb (0.000, 0.500, 0.500)
Os (0.000, 0.000, 0.000)
Os (0.500, 0.000, 0.500)
P (0.500, 0.500, 0.000)

***

Model Q:
First-principles (GGA-PBE) data for crystalline POs2Pb at its relaxed geometry, as listed in Alexandria.

V ... 16.2 Å³/atom
Total magnetic moment ... 0.0 μB per formula unit
DOS(E_F) ... 2.487 states/eV per cell

Cell lengths 4.509, 4.509, 4.509 Å; angles 60.00, 60.00, 60.00 degrees
Element x y z (fractional)
Os (0.250, 0.250, 0.250)
Os (0.750, 0.750, 0.750)
P (0.000, 0.000, 0.000)
Pb (0.500, 0.500, 0.500)

***

Model R:
First-principles (GGA-PBE) data for crystalline POs2Pb at its relaxed geometry, as listed in Alexandria.

V ... 18.2 Å³/atom
Total magnetic moment ... 0.0 μB per formula unit
DOS(E_F) ... 1.260 states/eV per cell

Cell lengths 3.584, 2.973, 6.823 Å; angles 87.83, 90.00, 90.00 degrees
Element x y z (fractional)
P (0.500, 0.500, 0.000)
Os (0.000, 0.734, 0.170)
Os (0.000, 0.266, 0.830)
Pb (0.500, 0.000, 0.500)

***

The most stable arrangement is model R, and the next structure is 377 meV/atom less stable.

***

Model P:
First-principles (GGA-PBE) data for crystalline P2OsPb2 at its relaxed geometry, as listed in Alexandria.

V ... 20.6 Å³/atom
Total magnetic moment ... 0.0 μB per formula unit
DOS(E_F) ... 3.799 states/eV per cell

Cell lengths 6.115, 6.115, 5.505 Å; angles 90.00, 90.00, 90.00 degrees
Element x y z (fractional)
P (0.368, 0.868, 0.000)
P (0.632, 0.132, 0.000)
P (0.868, 0.632, 0.000)
P (0.132, 0.368, 0.000)
Pb (0.312, 0.188, 0.500)
Pb (0.688, 0.812, 0.500)
Pb (0.188, 0.688, 0.500)
Pb (0.812, 0.312, 0.500)
Os (0.500, 0.500, 0.000)
Os (0.000, 0.000, 0.000)

***

Model Q:
First-principles (GGA-PBE) data for crystalline P2OsPb2 at its relaxed geometry, as listed in Alexandria.

V ... 23.4 Å³/atom
Total magnetic moment ... 0.0 μB per formula unit
DOS(E_F) ... 2.760 states/eV per cell

Cell lengths 5.995, 5.995, 5.344 Å; angles 55.88, 55.88, 90.00 degrees
Element x y z (fractional)
P (0.657, 0.657, 0.686)
P (0.343, 0.343, 0.314)
Pb (0.250, 0.750, 0.500)
Pb (0.750, 0.250, 0.500)
Os (0.000, 0.000, 0.000)

***

The most stable arrangement is model P, and the next structure is 566 meV/atom less stable.